Entry 1:
First-principles (GGA-PBE) data for an optimized crystal structure of Li2MnPd5, as listed in Alexandria via LeMat-Bulk.

The calculation puts the density of states at the Fermi level at 9.11 states/eV/cell. The electronic total energy is -5.1790 eV/atom. As for the formation energy: -0.309 eV/atom. Its total magnetization is 4.4 μB/f.u.

It has space group I4mm (No. 107), with a = 6.3254 Å, b = 6.3254 Å, c = 5.8482 Å, α = 90.00°, β = 90.00° and γ = 90.00°. Symmetry generates all atoms from Li at (0.0000, 0.5000, 0.0000), Mn at (0.0000, 0.0000, 0.9996), Pd at (0.0000, 0.0000, 0.5005) and Pd at (0.2498, 0.2498, 0.2501).

=====

Entry 2:
First-principles (GGA-PBE) data for an optimized crystal structure of In12HgBi4, as listed in Alexandria via LeMat-Bulk.

The calculation puts the density of states at the Fermi level at 26.90 states/eV/cell. The electronic total energy is -2.7264 eV/atom. As for the formation energy: 0.138 eV/atom. Its total magnetization is 0.0 μB/f.u.

It has space group Im-3 (No. 204), with a = 10.5560 Å, b = 10.5560 Å, c = 10.5560 Å, α = 90.00°, β = 90.00° and γ = 90.00°. Symmetry generates all atoms from In at (0.0000, 0.1414, 0.3566), Hg at (0.0000, 0.0000, 0.0000) and Bi at (0.2500, 0.2500, 0.2500).

=====

Entry 3:
First-principles (GGA-PBE) data for an optimized crystal structure of Mg2HgSe, as listed in Alexandria via LeMat-Bulk.

The calculation puts the density of states at the Fermi level at 1.84 states/eV/cell. Its formation energy (no corrections) is -0.397 eV/atom. The electronic total energy is -2.1412 eV/atom. Its energy above the most stable polymorph in this dataset is 0.168 eV/atom. Its total magnetization is 0.0 μB/f.u.

It has space group Immm (No. 71), with a = 3.6883 Å, b = 6.0009 Å, c = 8.5405 Å, α = 90.00°, β = 90.00° and γ = 90.00°. Symmetry generates all atoms from Mg at (0.0000, 0.0000, 0.2236), Hg at (0.0000, 0.5000, 0.0000) and Se at (0.0000, 0.5000, 0.5000).

=====

Entry 4:
First-principles (GGA-PBE) data for an optimized crystal structure of BaAc2RhO6, as listed in Alexandria via LeMat-Bulk.

The calculation puts the density of states at the Fermi level at 15.27 states/eV/cell. Its formation energy (no corrections) is -2.337 eV/atom. The electronic total energy is -7.0606 eV/atom. Its total magnetization is 1.1 μB/f.u.

It has space group P2_1/c (No. 14), with a = 5.8402 Å, b = 6.5180 Å, c = 10.5374 Å, α = 90.00°, β = 123.34° and γ = 90.00°. Symmetry generates all atoms from Ba at (0.0000, 0.0000, 0.0000), Ac at (0.2158, 0.0440, 0.7287), Rh at (0.5000, 0.0000, 0.5000), O at (0.1738, 0.1549, 0.4727), O at (0.2460, 0.7446, 0.4018) and O at (0.4077, 0.0953, 0.2886).

=====

Entry 5:
First-principles (GGA-PBE) data for an optimized crystal structure of ZrTcB4, as listed in Alexandria via LeMat-Bulk.

The calculation puts the density of states at the Fermi level at 10.13 states/eV/cell. The electronic total energy is -8.2191 eV/atom. As for the formation energy: -0.615 eV/atom. Its total magnetization is 0.0 μB/f.u.

It has space group Cmmm (No. 65), with a = 7.2618 Å, b = 9.2160 Å, c = 3.4971 Å, α = 90.00°, β = 90.00° and γ = 90.00°. Symmetry generates all atoms from Zr at (0.0000, 0.1997, 0.0000), Tc at (0.1835, 0.5000, 0.0000), B at (0.0000, 0.4061, 0.5000), B at (0.1195, 0.0000, 0.5000) and B at (0.2236, 0.3402, 0.5000).

=====

Entry 6:
First-principles (GGA-PBE) data for an optimized crystal structure of SrTbIn, as listed in Alexandria via LeMat-Bulk.

The calculation puts the density of states at the Fermi level at 10.48 states/eV/cell. The electronic total energy is -3.2668 eV/atom. Its energy above the most stable polymorph in this dataset is 0.052 eV/atom. As for the formation energy: -0.250 eV/atom. Its total magnetization is 0.5 μB/f.u.

It has space group I4/mmm (No. 139), with a = 3.9235 Å, b = 3.9235 Å, c = 27.9187 Å, α = 90.00°, β = 90.00° and γ = 90.00°. Symmetry generates all atoms from Sr at (0.0000, 0.0000, 0.0729), Tb at (0.0000, 0.0000, 0.2111) and In at (0.0000, 0.0000, 0.3487).

=====

Entry 7:
First-principles (GGA-PBE) data for an optimized crystal structure of SbSe2O, as listed in Alexandria via LeMat-Bulk.

The calculation puts the density of states at the Fermi level at 8.39 states/eV/cell. Its formation energy (no corrections) is 0.252 eV/atom. The electronic total energy is -3.7604 eV/atom. Its energy above the most stable polymorph in this dataset is 0.224 eV/atom. Its total magnetization is 0.0 μB/f.u.

It has space group I-42d (No. 122), with a = 5.3637 Å, b = 5.3637 Å, c = 13.1035 Å, α = 90.00°, β = 90.00° and γ = 90.00°. Symmetry generates all atoms from Sb at (0.0000, 0.0000, 0.0000), Se at (0.1098, 0.2500, 0.6250) and O at (0.0000, 0.0000, 0.5000).

=====

Entry 8:
First-principles (GGA-PBE) data for an optimized crystal structure of CdH4Pd4, as listed in Alexandria via LeMat-Bulk.

The calculation puts the density of states at the Fermi level at 6.22 states/eV/cell. The electronic total energy is -4.0545 eV/atom. Its total magnetization is 0.0 μB/f.u.

It has space group I4/m (No. 87), with a = 7.3301 Å, b = 7.3301 Å, c = 3.5037 Å, α = 90.00°, β = 90.00° and γ = 90.00°. Symmetry generates all atoms from Cd at (0.0000, 0.0000, 0.0000), H at (0.1548, 0.6814, 0.5000) and Pd at (0.0975, 0.2951, 0.5000).

=====

Entry 9:
First-principles (GGA-PBE) data for an optimized crystal structure of FeSi2Se2, as listed in Alexandria via LeMat-Bulk.

The calculation puts the density of states at the Fermi level at 5.99 states/eV/cell. Its formation energy (no corrections) is 0.366 eV/atom. The electronic total energy is -4.8897 eV/atom. Its energy above the most stable polymorph in this dataset is 0.000 eV/atom. Its total magnetization is 3.3 μB/f.u.

It has space group I4/mmm (No. 139), with a = 3.3700 Å, b = 3.3700 Å, c = 15.7426 Å, α = 90.00°, β = 90.00° and γ = 90.00°. Symmetry generates all atoms from Fe at (0.0000, 0.0000, 0.0000), Si at (0.0000, 0.5000, 0.2500) and Se at (0.0000, 0.0000, 0.4057).

=====

Entry 10:
First-principles (GGA-PBE) data for an optimized crystal structure of BaBeGe2Pt, as listed in Alexandria via LeMat-Bulk.

The calculation puts the density of states at the Fermi level at 5.40 states/eV/cell. The electronic total energy is -2.1617 eV/atom. As for the formation energy: 2.023 eV/atom. Its total magnetization is 0.0 μB/f.u.

It has space group P4/mmm (No. 123), with a = 5.6419 Å, b = 5.6419 Å, c = 4.9367 Å, α = 90.00°, β = 90.00° and γ = 90.00°. Symmetry generates all atoms from Ba at (0.0000, 0.0000, 0.0000), Be at (0.0000, 0.0000, 0.5000), Ge at (0.0000, 0.5000, 0.0000) and Pt at (0.5000, 0.5000, 0.5000).

=====

Entry 11:
First-principles (GGA-PBE) data for an optimized crystal structure of LaSc2Hg, as listed in Alexandria via LeMat-Bulk.

The calculation puts the density of states at the Fermi level at 14.79 states/eV/cell. The electronic total energy is -4.5399 eV/atom. As for the formation energy: -0.067 eV/atom. Its total magnetization is 0.3 μB/f.u.

It has space group R3m (No. 160, hexagonal axes), with a = 3.4906 Å, b = 3.4906 Å, c = 31.0891 Å, α = 90.00°, β = 90.00° and γ = 120.00°. Symmetry generates all atoms from La at (0.0000, 0.0000, 0.0000), Sc at (0.0000, 0.0000, 0.2409), Sc at (0.0000, 0.0000, 0.4930) and Hg at (0.0000, 0.0000, 0.7543).

=====

Entry 12:
First-principles (GGA-PBE) data for an optimized crystal structure of Nd2Y2Sc3, as listed in Alexandria via LeMat-Bulk.

The calculation puts the density of states at the Fermi level at 43.60 states/eV/cell. The electronic total energy is -5.7019 eV/atom. As for the formation energy: 0.221 eV/atom. Its total magnetization is 0.0 μB/f.u.

It has space group I2_13 (No. 199), with a = 9.4347 Å, b = 9.4347 Å, c = 9.4347 Å, α = 90.00°, β = 90.00° and γ = 90.00°. Symmetry generates all atoms from Nd at (0.1636, 0.3364, 0.6636), Y at (0.0374, 0.0374, 0.0374) and Sc at (0.0000, 0.2500, 0.2941).

=====

Entry 13:
First-principles (GGA-PBE) data for an optimized crystal structure of PmPrSb2Rh5, as listed in Alexandria via LeMat-Bulk.

The calculation puts the density of states at the Fermi level at 5.84 states/eV/cell. Its formation energy (no corrections) is -0.575 eV/atom. The electronic total energy is -6.6339 eV/atom. Its total magnetization is 0.0 μB/f.u.

It has space group P4/mmm (No. 123), with a = 4.4812 Å, b = 4.4812 Å, c = 9.0547 Å, α = 90.00°, β = 90.00° and γ = 90.00°. Symmetry generates all atoms from Pm at (0.0000, 0.0000, 0.0000), Pr at (0.0000, 0.0000, 0.5000), Sb at (0.5000, 0.5000, 0.3399), Rh at (0.0000, 0.5000, 0.2113) and Rh at (0.5000, 0.5000, 0.0000).

=====

Entry 14:
First-principles (GGA-PBE) data for an optimized crystal structure of AlHg, as listed in Alexandria via LeMat-Bulk.

The calculation puts the density of states at the Fermi level at 7.41 states/eV/cell. The electronic total energy is -1.8232 eV/atom. As for the formation energy: 0.199 eV/atom. Its total magnetization is 0.0 μB/f.u.

It has space group Fddd (No. 70, origin choice 2), with a = 7.7522 Å, b = 8.3332 Å, c = 12.0510 Å, α = 90.00°, β = 90.00° and γ = 90.00°. Symmetry generates all atoms from Al at (0.1250, 0.1250, 0.0109) and Hg at (0.0579, 0.3750, 0.8750).

=====

Entry 15:
First-principles (GGA-PBE) data for an optimized crystal structure of Mg4In, as listed in Alexandria via LeMat-Bulk.

The calculation puts the density of states at the Fermi level at 5.01 states/eV/cell. The electronic total energy is -1.6658 eV/atom. Its energy above the most stable polymorph in this dataset is 0.218 eV/atom. As for the formation energy: 0.158 eV/atom. Its total magnetization is 0.0 μB/f.u.

It has space group I4/mmm (No. 139), with a = 4.1023 Å, b = 4.1023 Å, c = 15.3134 Å, α = 90.00°, β = 90.00° and γ = 90.00°. Symmetry generates all atoms from Mg at (0.0000, 0.0000, 0.0964), Mg at (0.0000, 0.5000, 0.2500) and In at (0.0000, 0.0000, 0.5000).

=====

Entry 16:
First-principles (GGA-PBE) data for an optimized crystal structure of RbNiSn3, as listed in Alexandria via LeMat-Bulk.

The calculation puts the density of states at the Fermi level at 7.55 states/eV/cell. The electronic total energy is -1.8712 eV/atom. Its energy above the most stable polymorph in this dataset is 1.828 eV/atom. As for the formation energy: 1.880 eV/atom. Its total magnetization is 0.0 μB/f.u.

It has space group Pm-3m (No. 221), with a = 5.9693 Å, b = 5.9693 Å, c = 5.9693 Å, α = 90.00°, β = 90.00° and γ = 90.00°. Symmetry generates all atoms from Rb at (0.0000, 0.0000, 0.0000), Ni at (0.5000, 0.5000, 0.5000) and Sn at (0.0000, 0.0000, 0.5000).

=====

Entry 17:
First-principles (GGA-PBE) data for an optimized crystal structure of Ba3Tl2Pd7, as listed in Alexandria via LeMat-Bulk.

The calculation puts the density of states at the Fermi level at 15.27 states/eV/cell. The electronic total energy is -4.3693 eV/atom. As for the formation energy: -0.465 eV/atom. Its total magnetization is 0.0 μB/f.u.

It has space group R-3m (No. 166, hexagonal axes), with a = 5.9274 Å, b = 5.9274 Å, c = 27.2120 Å, α = 90.00°, β = 90.00° and γ = 120.00°. Symmetry generates all atoms from Ba at (0.0000, 0.0000, 0.0000), Ba at (0.0000, 0.0000, 0.1402), Tl at (0.0000, 0.0000, 0.3314), Pd at (0.0000, 0.0000, 0.5000) and Pd at (0.0058, 0.5029, 0.0827).

=====

Entry 18:
First-principles (GGA-PBE) data for an optimized crystal structure of TlNiMo3, as listed in Alexandria via LeMat-Bulk.

The calculation puts the density of states at the Fermi level at 3.93 states/eV/cell. The electronic total energy is -6.8796 eV/atom. Its energy above the most stable polymorph in this dataset is 0.000 eV/atom. As for the formation energy: 1.249 eV/atom. Its total magnetization is 0.0 μB/f.u.

It has space group Pm-3m (No. 221), with a = 4.5372 Å, b = 4.5372 Å, c = 4.5372 Å, α = 90.00°, β = 90.00° and γ = 90.00°. Symmetry generates all atoms from Tl at (0.0000, 0.0000, 0.0000), Ni at (0.5000, 0.5000, 0.5000) and Mo at (0.0000, 0.5000, 0.5000).

=====

Entry 19:
First-principles (GGA-PBE) data for an optimized crystal structure of TaInRh2, as listed in Alexandria via LeMat-Bulk.

The calculation puts the density of states at the Fermi level at 12.36 states/eV/cell. The electronic total energy is -7.2952 eV/atom. As for the formation energy: 0.028 eV/atom. Its total magnetization is 0.0 μB/f.u.

It has space group I-42d (No. 122), with a = 7.1718 Å, b = 7.1718 Å, c = 5.8160 Å, α = 90.00°, β = 90.00° and γ = 90.00°. Symmetry generates all atoms from Ta at (0.0000, 0.0000, 0.0000), In at (0.0000, 0.0000, 0.5000) and Rh at (0.2158, 0.2500, 0.1250).

=====

Entry 20:
First-principles (GGA-PBE) data for an optimized crystal structure of ThTiNi2As2, as listed in Alexandria via LeMat-Bulk.

The calculation puts the density of states at the Fermi level at 2.49 states/eV/cell. The electronic total energy is -6.8819 eV/atom. As for the formation energy: -0.853 eV/atom. Its total magnetization is 0.0 μB/f.u.

It has space group P-3m1 (No. 164), with a = 4.0931 Å, b = 4.0931 Å, c = 6.9335 Å, α = 90.00°, β = 90.00° and γ = 120.00°. Symmetry generates all atoms from Th at (0.0000, 0.0000, 0.0000), Ti at (0.0000, 0.0000, 0.5000), Ni at (0.3333, 0.6667, 0.6743) and As at (0.3333, 0.6667, 0.2792).

=====

Entry 21:
First-principles (GGA-PBE) data for an optimized crystal structure of TbNb2C, as listed in Alexandria via LeMat-Bulk.

The calculation puts the density of states at the Fermi level at 8.16 states/eV/cell. The electronic total energy is -8.4941 eV/atom. As for the formation energy: 0.004 eV/atom. Its total magnetization is 0.0 μB/f.u.

It has space group R-3m (No. 166, hexagonal axes), with a = 3.1819 Å, b = 3.1819 Å, c = 25.6882 Å, α = 90.00°, β = 90.00° and γ = 120.00°. Symmetry generates all atoms from Tb at (0.0000, 0.0000, 0.0000), Nb at (0.0000, 0.0000, 0.1202) and C at (0.0000, 0.0000, 0.5000).

=====

Entry 22:
First-principles (GGA-PBE) data for an optimized crystal structure of YAl, as listed in Alexandria via LeMat-Bulk.

The calculation puts the density of states at the Fermi level at 9.95 states/eV/cell. The electronic total energy is -5.3983 eV/atom. As for the formation energy: -0.295 eV/atom. Its total magnetization is 0.0 μB/f.u.

It has space group Cm (No. 8), with a = 11.8009 Å, b = 3.7186 Å, c = 6.8828 Å, α = 90.00°, β = 108.23° and γ = 90.00°. Symmetry generates all atoms from Y at (0.0000, 0.0000, 0.0000), Y at (0.0017, 0.0000, 0.5227), Y at (0.2992, 0.0000, 0.1549), Al at (0.1714, 0.5000, 0.3840), Al at (0.1892, 0.5000, 0.7986) and Al at (0.3161, 0.0000, 0.6584).

=====

Entry 23:
First-principles (GGA-PBE) data for an optimized crystal structure of TcAgCl2, as listed in Alexandria via LeMat-Bulk.

The calculation puts the density of states at the Fermi level at 7.07 states/eV/cell. Its formation energy (no corrections) is 0.097 eV/atom. The electronic total energy is -4.1302 eV/atom. Its energy above the most stable polymorph in this dataset is 0.120 eV/atom. Its total magnetization is 1.0 μB/f.u.

It has space group R3m (No. 160, hexagonal axes), with a = 3.2474 Å, b = 3.2474 Å, c = 25.4804 Å, α = 90.00°, β = 90.00° and γ = 120.00°. Symmetry generates all atoms from Tc at (0.0000, 0.0000, 0.0000), Ag at (0.0000, 0.0000, 0.7500), Cl at (0.0000, 0.0000, 0.2751) and Cl at (0.0000, 0.0000, 0.4877).